P.
Material: P2CBr
Method: DFT, PBE-GGA
State: optimized geometry

The value obtained for the volume is 266.32 Å³ per cell.

The structure belongs to space group I-42d (No. 122); the cell edges are 6.104, 6.104 and 7.148 Å and the angles 90.00°, 90.00° and 90.00°. The inequivalent atoms are P at (0.133, 0.250, 0.125), C at (0.000, 0.000, 0.000) and Br at (0.000, 0.000, 0.500).



Q.
Material: P2CBr
Method: DFT, PBE-GGA
State: optimized geometry

The value obtained for the volume is 238.79 Å³ per cell.

The structure belongs to space group Fm-3m (No. 225); the cell edges are 6.204, 6.204 and 6.204 Å and the angles 90.00°, 90.00° and 90.00°. The inequivalent atoms are P at (0.250, 0.250, 0.250), C at (0.000, 0.000, 0.000) and Br at (0.000, 0.000, 0.500).



Stability, highest: P



P.
Material: PC3Br
Method: DFT, PBE-GGA
State: optimized geometry

The value obtained for the volume is 52.55 Å³ per cell.

The structure belongs to space group Pm-3m (No. 221); the cell edges are 3.746, 3.746 and 3.746 Å and the angles 90.00°, 90.00° and 90.00°. The inequivalent atoms are P at (0.000, 0.000, 0.000), C at (0.000, 0.000, 0.500) and Br at (0.500, 0.500, 0.500).



Q.
Material: PC3Br
Method: DFT, PBE-GGA
State: optimized geometry

The value obtained for the volume is 64.85 Å³ per cell.

The structure belongs to space group Pm-3m (No. 221); the cell edges are 4.018, 4.018 and 4.018 Å and the angles 90.00°, 90.00° and 90.00°. The inequivalent atoms are P at (0.000, 0.000, 0.000), C at (0.000, 0.500, 0.500) and Br at (0.500, 0.500, 0.500).



Stability, highest: P



P.
Material: PCS2Br
Method: DFT, PBE-GGA
State: optimized geometry

The value obtained for the volume is 114.19 Å³ per cell.

The structure belongs to space group P4/mmm (No. 123); the cell edges are 3.879, 3.879 and 7.588 Å and the angles 90.00°, 90.00° and 90.00°. The inequivalent atoms are P at (0.000, 0.000, 0.000), C at (0.000, 0.000, 0.500), S at (0.000, 0.500, 0.500) and Br at (0.500, 0.500, 0.000).



Q.
Material: PCS2Br
Method: DFT, PBE-GGA
State: optimized geometry

The value obtained for the volume is 116.40 Å³ per cell.

The structure belongs to space group P4/mmm (No. 123); the cell edges are 4.798, 4.798 and 5.056 Å and the angles 90.00°, 90.00° and 90.00°. The inequivalent atoms are P at (0.000, 0.000, 0.000), C at (0.500, 0.500, 0.000), S at (0.000, 0.500, 0.500) and Br at (0.000, 0.000, 0.500).



Stability, highest: P



P.
Material: PaCBr
Method: DFT, PBE-GGA
State: optimized geometry

The value obtained for the volume is 139.10 Å³ per cell.

The structure belongs to space group P-1 (No. 2); the cell edges are 3.460, 3.533 and 11.381 Å and the angles 89.86°, 89.31° and 90.00°. The inequivalent atoms are Pa at (0.245, 0.249, 0.124), C at (0.253, 0.251, 0.919) and Br at (0.263, 0.752, 0.669).



Q.
Material: PaCBr
Method: DFT, PBE-GGA
State: optimized geometry

The value obtained for the volume is 143.16 Å³ per cell.

The structure belongs to space group P-1 (No. 2); the cell edges are 3.702, 4.072 and 10.683 Å and the angles 86.80°, 89.89° and 62.96°. The inequivalent atoms are Pa at (0.142, 0.215, 0.124), C at (0.423, 0.655, 0.038) and Br at (0.178, 0.148, 0.689).



Stability, highest: Q



P.
Material: PbC3Br
Method: DFT, PBE-GGA
State: optimized geometry

The value obtained for the volume is 76.28 Å³ per cell.

The structure belongs to space group Pm-3m (No. 221); the cell edges are 4.241, 4.241 and 4.241 Å and the angles 90.00°, 90.00° and 90.00°. The inequivalent atoms are Pb at (0.000, 0.000, 0.000), C at (0.000, 0.500, 0.500) and Br at (0.500, 0.500, 0.500).



Q.
Material: PbC3Br
Method: DFT, PBE-GGA
State: optimized geometry

The value obtained for the volume is 100.24 Å³ per cell.

The structure belongs to space group Pm-3m (No. 221); the cell edges are 4.645, 4.645 and 4.645 Å and the angles 90.00°, 90.00° and 90.00°. The inequivalent atoms are Pb at (0.000, 0.000, 0.000), C at (0.000, 0.000, 0.500) and Br at (0.500, 0.500, 0.500).



Stability, highest: P



P.
Material: Pd3CBr
Method: DFT, PBE-GGA
State: optimized geometry

The value obtained for the volume is 77.14 Å³ per cell.

The structure belongs to space group Pm-3m (No. 221); the cell edges are 4.257, 4.257 and 4.257 Å and the angles 90.00°, 90.00° and 90.00°. The inequivalent atoms are Pd at (0.000, 0.000, 0.500), C at (0.000, 0.000, 0.000) and Br at (0.500, 0.500, 0.500).



Q.
Material: Pd3CBr
Method: DFT, PBE-GGA
State: optimized geometry

The value obtained for the volume is 106.88 Å³ per cell.

The structure belongs to space group Pm-3m (No. 221); the cell edges are 4.746, 4.746 and 4.746 Å and the angles 90.00°, 90.00° and 90.00°. The inequivalent atoms are Pd at (0.000, 0.000, 0.500), C at (0.500, 0.500, 0.500) and Br at (0.000, 0.000, 0.000).



Stability, highest: P